First-principles (PBE) data for a geometry-optimized YMgGa2Cu5 structure, as listed in the Alexandria database.

```
data_YMgGa2Cu5
_space_group_name_H-M_alt 'P 1'
_space_group_IT_number 1
_cell_length_a 4.481
_cell_length_b 4.481
_cell_length_c 7.523
_cell_angle_alpha 90.00
_cell_angle_beta 90.00
_cell_angle_gamma 90.00
loop_
_space_group_symop_operation_xyz
'x,y,z'
loop_
_atom_site_label
_atom_site_fract_x
_atom_site_fract_y
_atom_site_fract_z
Ga1 0.500 0.500 0.163
Ga2 0.500 0.500 0.837
Cu1 0.500 0.500 0.500
Cu2 0.500 0.000 0.723
Cu3 0.000 0.500 0.277
Cu4 0.000 0.500 0.723
Cu5 0.500 0.000 0.277
Mg1 0.000 0.000 0.000
Y1 0.000 0.000 0.500
```

Output
- Energy: -35.04 eV per cell
- Total moment: 0.0 μB/f.u.
- Space-group type: P4/mmm (123)
- V: 16.78 Å³ per atom